[1]
{
  "formula": "YBeTe2",
  "functional": "PBE-GGA",
  "state": "relaxed",
  "e_above_lowest_polymorph_kj_per_mol_fu": 223,
  "e_form_raw_ev_per_atom": -0.21,
  "cell": [[-3.3038, -0.6465, 3.8069], [-2.8634, -0.4962, -4.1689], [3.8132, -3.3560, 0.1473]],
  "species": ["Y", "Be", "Te", "Te"],
  "fractional_positions": [[0.2500, 0.7500, 0.5000], [0.7500, 0.2500, 0.5000], [0.0000, 0.0000, 0.0000], [0.5000, 0.5000, 0.0000]]
}

[2]
{
  "formula": "Y2BeTe",
  "functional": "PBE-GGA",
  "state": "relaxed",
  "e_above_lowest_polymorph_kj_per_mol_fu": 152,
  "e_form_raw_ev_per_atom": -0.16,
  "cell": [[3.6005, 0.0681, 0.0000], [-0.0774, 3.6003, 0.0000], [0.0000, 0.0000, 7.6722]],
  "species": ["Y", "Y", "Be", "Te"],
  "fractional_positions": [[0.0000, 0.0000, 0.9632], [0.5000, 0.5000, 0.2977], [0.0000, 0.0000, 0.5431], [0.5000, 0.5000, 0.6960]]
}

What is the formula in the first record? YBeTe2